Computed, not measured: AcVO3 after structural relaxation at the PBE+U level of DFT.

Cell lengths 4.008, 4.008, 4.008 Å; angles 90.00, 90.00, 90.00 degrees
Sites, in units of the cell vectors:
1 Ac 0.000 0.000 0.000
2 V 0.500 0.500 0.500
3 O 0.000 0.500 0.500
4 O 0.500 0.000 0.500
5 O 0.500 0.500 0.000

The density comes out at 8.4 g/cm3. As for the total energy: -7.996 eV per atom. The density of states at the Fermi level comes out at 4.0 states/eV/f.u. Its space group is No. 221.